The following is a PBE calculation of a relaxed K2CrP crystal, from Alexandria.

a = 4.4021 Å, b = 4.4021 Å, c = 5.1971 Å
α = 90.00°, β = 90.00°, γ = 90.00°
Closest atoms and distances in Å follow each position.
Space group P4/mmm (No. 123)
Inequivalent atoms, fractional coordinates:
K1 0.0000 0.5000 0.0000  4 K 3.11, 4 Cr 3.41, 4 P 3.41
Cr1 0.0000 0.0000 0.5000  4 P 3.11, 8 K 3.41
P1 0.5000 0.5000 0.5000  4 Cr 3.11, 8 K 3.41

Output
The calculation puts the total magnetic moment at 1.195 μB per atom. Its calculated formation energy is 0.526 eV/atom. The volume is 100.7 Å³/cell. As for the density of states at the Fermi level: 1.03 states/eV/f.u. The crystal system is tetragonal.


The following is a PBE calculation of a relaxed Ce2PuRu crystal, from Alexandria.

a = 3.9493 Å, b = 3.9493 Å, c = 22.8604 Å
α = 90.00°, β = 90.00°, γ = 120.00°
Closest atoms and distances in Å follow each position.
Space group R3m (No. 160, hexagonal axes)
Inequivalent atoms, fractional coordinates:
Ce1 0.0000 0.0000 0.0000  3 Ru 2.76, 3 Pu 2.95
Ce2 0.0000 0.0000 0.1974  3 Ru 2.76
Pu1 0.0000 0.0000 0.7484  3 Ce 2.95
Ru1 0.0000 0.0000 0.5990  6 Ce 2.76

Output
The calculation puts the total magnetic moment at 1.763 μB per atom. The value obtained for the energy above the most stable polymorph in this dataset is 10.5 kJ/mol of atoms. Its calculated formation energy is 0.010 eV/atom. The volume is 308.8 Å³/cell. As for the density of states at the Fermi level: 7.75 states/eV/f.u. The crystal system is trigonal.


The following is a PBE calculation of a relaxed PmNdInSn crystal, from Alexandria.

a = 4.4132 Å, b = 4.6857 Å, c = 11.7668 Å
α = 90.00°, β = 90.00°, γ = 90.00°
Closest atoms and distances in Å follow each position.
Space group Amm2 (No. 38)
Inequivalent atoms, fractional coordinates:
Pm1 0.0000 0.0000 0.0000  4 In 3.28, 3 Sn 3.28-3.50
Nd1 0.5000 0.0000 0.7246  3 In 3.25-3.52, 4 Sn 3.28
In1 0.5000 0.0000 0.4483  2 Sn 2.97, 1 Nd 3.25, 4 Pm 3.28
Sn1 0.0000 0.0000 0.2789  2 In 2.97, 4 Nd 3.28, 1 Pm 3.28

Output
The calculation puts the total magnetic moment at 0.000 μB per atom. The value obtained for the energy above the most stable polymorph in this dataset is 0.0 kJ/mol of atoms. Its calculated formation energy is -0.643 eV/atom. The volume is 243.3 Å³/cell. As for the density of states at the Fermi level: 3.98 states/eV/f.u. The crystal system is orthorhombic.


The following is a PBE calculation of a relaxed NaTc2IrRh crystal, from Alexandria.

a = 4.6195 Å, b = 4.6195 Å, c = 4.6315 Å
α = 90.00°, β = 90.00°, γ = 90.00°
Closest atoms and distances in Å follow each position.
Space group P4/mmm (No. 123)
Inequivalent atoms, fractional coordinates:
Na1 0.0000 0.0000 0.0000  2 Rh 2.32
Tc1 0.0000 0.5000 0.5000  2 Rh 2.31
Ir1 0.5000 0.5000 0.0000  4 Na 3.27, 8 Tc 3.27
Rh1 0.0000 0.0000 0.5000  4 Tc 2.31, 2 Na 2.32

Output
The calculation puts the total magnetic moment at 0.443 μB per atom. Its calculated formation energy is 1.852 eV/atom. The volume is 98.8 Å³/cell. As for the density of states at the Fermi level: 6.36 states/eV/f.u. The crystal system is tetragonal.


The following is a PBE calculation of a relaxed Cu5Pt6Rh crystal, from Alexandria.

a = 3.8905 Å, b = 7.4566 Å, c = 11.6874 Å
α = 90.00°, β = 90.00°, γ = 90.00°
Closest atoms and distances in Å follow each position.
Space group Immm (No. 71)
Inequivalent atoms, fractional coordinates:
Cu1 0.0000 0.0000 0.0000  8 Pt 2.67-2.69, 4 Cu 2.76
Cu2 0.0000 0.0000 0.3340  8 Pt 2.68-2.71, 2 Cu 2.75, 2 Rh 2.75
Cu3 0.0000 0.5000 0.3321  8 Pt 2.68-2.69, 4 Cu 2.75-2.76
Pt1 0.0000 0.2471 0.1677  7 Cu 2.68-2.71, 1 Rh 2.72, 4 Pt 2.74-2.76
Pt2 0.0000 0.2546 0.5000  6 Cu 2.67-2.71, 2 Rh 2.72, 4 Pt 2.76
Rh1 0.0000 0.5000 0.0000  8 Pt 2.72, 4 Cu 2.75

Output
The calculation puts the total magnetic moment at 0.000 μB per atom. Its calculated formation energy is -0.114 eV/atom. The volume is 339.0 Å³/cell. As for the density of states at the Fermi level: 11.72 states/eV/f.u. The crystal system is orthorhombic.


The following is a PBE calculation of a relaxed CdAuI3 crystal, from Alexandria.

a = 19.0295 Å, b = 4.4647 Å, c = 10.1997 Å
α = 90.00°, β = 101.45°, γ = 90.00°
Closest atoms and distances in Å follow each position.
Space group C2/m (No. 12)
Inequivalent atoms, fractional coordinates:
Cd1 0.1574 0.0000 0.4515  5 I 2.89-3.13
Au1 0.0453 0.5000 0.8963  3 I 2.67-2.81, 1 Au 2.98
I1 0.0640 0.5000 0.3340  1 Au 2.81, 2 Cd 2.96
I2 0.1191 0.0000 0.9719  2 Au 2.67
I3 0.2147 0.5000 0.6611  3 Cd 2.89-3.13

Output
The calculation puts the total magnetic moment at 0.000 μB per atom. The value obtained for the energy above the most stable polymorph in this dataset is 0.0 kJ/mol of atoms. The volume is 849.3 Å³/cell. The calculation puts the formation energy (no corrections) at -0.2677 eV/atom. As for the density of states at the Fermi level: 0.07 states/eV/f.u. The crystal system is monoclinic.


The following is a PBE calculation of a relaxed SrScPd4 crystal, from Alexandria.

a = 7.7173 Å, b = 7.7173 Å, c = 7.7173 Å
α = 90.00°, β = 90.00°, γ = 90.00°
Closest atoms and distances in Å follow each position.
Space group F-43m (No. 216)
Inequivalent atoms, fractional coordinates:
Sr1 0.0000 0.0000 0.0000  12 Pd 3.20, 4 Sc 3.34
Sc1 0.2500 0.2500 0.2500  12 Pd 3.20, 4 Sr 3.34
Pd1 0.1245 0.1245 0.6245  6 Pd 2.72-2.74

Output
The calculation puts the total magnetic moment at 0.000 μB per atom. Its calculated formation energy is -0.572 eV/atom. The volume is 459.6 Å³/cell. As for the density of states at the Fermi level: 6.10 states/eV/f.u. The crystal system is cubic.


The following is a PBE calculation of a relaxed Ce2YZrP4 crystal, from Alexandria.

a = 6.8742 Å, b = 3.9684 Å, c = 6.8823 Å
α = 90.00°, β = 109.39°, γ = 90.00°
Closest atoms and distances in Å follow each position.
Space group P2/m (No. 10)
Inequivalent atoms, fractional coordinates:
Ce1 0.0000 0.0000 0.0000  6 P 2.82
Ce2 0.0000 0.5000 0.5000  6 P 2.88-2.89
Y1 0.5000 0.0000 0.5000  6 P 2.80
Zr1 0.5000 0.5000 0.0000  6 P 2.72-2.73
P1 0.2593 0.5000 0.2448  1 Zr 2.72, 2 Y 2.80, 3 Ce 2.82-2.89
P2 0.2643 0.0000 0.7623  2 Zr 2.73, 1 Y 2.80, 3 Ce 2.82-2.88

Output
The calculation puts the total magnetic moment at 0.066 μB per atom. Its calculated formation energy is -1.505 eV/atom. The volume is 177.1 Å³/cell. As for the density of states at the Fermi level: 8.55 states/eV/f.u. The crystal system is monoclinic.


The following is a PBE calculation of a relaxed MnAg2Mo crystal, from Alexandria.

a = 3.7815 Å, b = 3.7815 Å, c = 4.5575 Å
α = 90.00°, β = 90.00°, γ = 90.00°
Closest atoms and distances in Å follow each position.
Space group P4/mmm (No. 123)
Inequivalent atoms, fractional coordinates:
Mn1 0.0000 0.0000 0.0000  4 Mo 2.67, 8 Ag 2.96
Ag1 0.0000 0.5000 0.5000  4 Ag 2.67, 4 Mo 2.96, 4 Mn 2.96
Mo1 0.5000 0.5000 0.0000  4 Mn 2.67, 8 Ag 2.96

Output
The calculation puts the total magnetic moment at 0.301 μB per atom. The value obtained for the energy above the most stable polymorph in this dataset is 27.7 kJ/mol of atoms. Its calculated formation energy is 0.583 eV/atom. The volume is 65.2 Å³/cell. As for the density of states at the Fermi level: 4.05 states/eV/f.u. The crystal system is tetragonal.


The following is a PBE calculation of a relaxed GaAg2BiS4 crystal, from Alexandria.

a = 8.8127 Å, b = 6.9386 Å, c = 6.5286 Å
α = 90.00°, β = 90.00°, γ = 90.00°
Closest atoms and distances in Å follow each position.
Space group Pmn2_1 (No. 31)
Inequivalent atoms, fractional coordinates:
Ga1 0.0000 0.1738 0.0000  4 S 2.28-2.35
Ag1 0.2476 0.6896 0.0077  4 S 2.55-2.61
Bi1 0.0000 0.8142 0.4838  4 S 2.64-2.79
S1 0.0000 0.1756 0.3596  1 Ga 2.35, 2 Ag 2.60
S2 0.0000 0.8562 0.8911  1 Ga 2.32, 2 Ag 2.58
S3 0.2124 0.3315 0.8932  1 Ga 2.28, 1 Ag 2.55

Output
The calculation puts the total magnetic moment at 0.000 μB per atom. The volume is 399.2 Å³/cell. The calculation puts the formation energy (no corrections) at -0.3319 eV/atom. The crystal system is orthorhombic.


The following is a PBE calculation of a relaxed AlHSe2 crystal, from Alexandria.

a = 6.8431 Å, b = 8.2783 Å, c = 6.4050 Å
α = 90.00°, β = 90.00°, γ = 90.00°
Closest atoms and distances in Å follow each position.
Space group Pna2_1 (No. 33)
Inequivalent atoms, fractional coordinates:
Al1 0.0618 0.1095 0.0000  4 Se 2.34-2.53
H1 0.0155 0.5312 0.4766  1 Se 1.50
Se1 0.0864 0.1242 0.6329  2 Al 2.34-2.36
Se2 0.0956 0.6397 0.6436  1 H 1.50

Output
The calculation puts the total magnetic moment at 0.000 μB per atom. The value obtained for the energy above the most stable polymorph in this dataset is 2.8 kJ/mol of atoms. The volume is 362.8 Å³/cell. As for the density of states at the Fermi level: 0.00 states/eV/f.u. The crystal system is orthorhombic.


The following is a PBE calculation of a relaxed NiMoAs2 crystal, from Alexandria.

a = 3.0688 Å, b = 3.0688 Å, c = 22.4897 Å
α = 90.00°, β = 90.00°, γ = 120.00°
Closest atoms and distances in Å follow each position.
Space group R-3m (No. 166, hexagonal axes)
Inequivalent atoms, fractional coordinates:
Ni1 0.0000 0.0000 0.0000  6 As 2.53
Mo1 0.0000 0.0000 0.5000  6 As 2.62
As1 0.0000 0.0000 0.2528  3 Ni 2.53, 3 Mo 2.62

Output
The calculation puts the total magnetic moment at 0.000 μB per atom. Its calculated formation energy is 0.028 eV/atom. The volume is 183.4 Å³/cell. As for the density of states at the Fermi level: 4.07 states/eV/f.u. The crystal system is trigonal.


Copy entry 5 word for word.
The following is a PBE calculation of a relaxed Cu5Pt6Rh crystal, from Alexandria.

a = 3.8905 Å, b = 7.4566 Å, c = 11.6874 Å
α = 90.00°, β = 90.00°, γ = 90.00°
Closest atoms and distances in Å follow each position.
Space group Immm (No. 71)
Inequivalent atoms, fractional coordinates:
Cu1 0.0000 0.0000 0.0000  8 Pt 2.67-2.69, 4 Cu 2.76
Cu2 0.0000 0.0000 0.3340  8 Pt 2.68-2.71, 2 Cu 2.75, 2 Rh 2.75
Cu3 0.0000 0.5000 0.3321  8 Pt 2.68-2.69, 4 Cu 2.75-2.76
Pt1 0.0000 0.2471 0.1677  7 Cu 2.68-2.71, 1 Rh 2.72, 4 Pt 2.74-2.76
Pt2 0.0000 0.2546 0.5000  6 Cu 2.67-2.71, 2 Rh 2.72, 4 Pt 2.76
Rh1 0.0000 0.5000 0.0000  8 Pt 2.72, 4 Cu 2.75

Output
The calculation puts the total magnetic moment at 0.000 μB per atom. Its calculated formation energy is -0.114 eV/atom. The volume is 339.0 Å³/cell. As for the density of states at the Fermi level: 11.72 states/eV/f.u. The crystal system is orthorhombic.